[1]
Here is Pm2Cd3InHg6 after structural relaxation from Alexandria. Energies are from PBE-GGA.

Calculated values
Crystal system ... tetragonal
Raw total energy ... -1.39 eV/atom
Total magnetic moment ... 0.0000 μB/atom
Formation energy from the elements ... 0.11 eV per formula unit
DOS at the Fermi energy ... 7.42 states/eV/cell

a = 4.667 Å, b = 4.667 Å, c = 18.438 Å
α = 90.00°, β = 90.00°, γ = 90.00°
Space group P4/mmm (No. 123)
Asymmetric unit:
Pm1 0.000 0.000 0.221 [2 per cell]
Cd1 0.500 0.500 0.201 [2 per cell]
Cd2 0.500 0.500 0.500 [1 per cell]
In1 0.000 0.000 0.000 [1 per cell]
Hg1 0.000 0.500 0.099 [4 per cell]
Hg2 0.500 0.500 0.351 [2 per cell]



[2]
Here is PmCd3In2Hg4 after structural relaxation from Alexandria. Energies are from PBE-GGA.

Calculated values
Crystal system ... tetragonal
Raw total energy ... -1.42 eV/atom
Total magnetic moment ... 0.0000 μB/atom
Formation energy from the elements ... -0.04 eV per formula unit
DOS at the Fermi energy ... 5.50 states/eV/cell

a = 4.516 Å, b = 4.516 Å, c = 14.047 Å
α = 90.00°, β = 90.00°, γ = 90.00°
Space group P-4m2 (No. 115)
Asymmetric unit:
Pm1 0.000 0.000 0.000 [1 per cell]
Cd1 0.000 0.500 0.355 [2 per cell]
Cd2 0.500 0.500 0.000 [1 per cell]
In1 0.000 0.500 0.798 [2 per cell]
Hg1 0.000 0.000 0.500 [1 per cell]
Hg2 0.000 0.500 0.156 [2 per cell]
Hg3 0.500 0.500 0.500 [1 per cell]



[3]
Here is Pm4CdInHg2 after structural relaxation from Alexandria. Energies are from PBE-GGA.

Calculated values
Crystal system ... trigonal
Raw total energy ... -3.34 eV/atom
Total magnetic moment ... 0.2441 μB/atom
Formation energy from the elements ... -3.44 eV per formula unit
DOS at the Fermi energy ... 27.55 states/eV/cell

a = 5.4164 Å, b = 5.4164 Å, c = 26.5929 Å
α = 90.00°, β = 90.00°, γ = 120.00°
Space group R-3m (No. 166, hexagonal axes)
Asymmetric unit:
Pm1 0.0000 0.0000 0.1249 [6 per cell]
Pm2 0.0000 0.0000 0.3750 [6 per cell]
Cd1 0.0000 0.0000 0.0000 [3 per cell]
In1 0.0000 0.0000 0.5000 [3 per cell]
Hg1 0.0000 0.0000 0.2517 [6 per cell]



[4]
Here is Pm2CdIn3Hg6 after structural relaxation from Alexandria. Energies are from PBE-GGA.

Calculated values
Crystal system ... tetragonal
Raw total energy ... -1.70 eV/atom
Total magnetic moment ... 0.0000 μB/atom
Formation energy from the elements ... 0.05 eV per formula unit
DOS at the Fermi energy ... 7.15 states/eV/cell

a = 4.630 Å, b = 4.630 Å, c = 18.984 Å
α = 90.00°, β = 90.00°, γ = 90.00°
Space group P4/mmm (No. 123)
Asymmetric unit:
Pm1 0.000 0.000 0.215 [2 per cell]
Cd1 0.000 0.000 0.000 [1 per cell]
In1 0.500 0.500 0.202 [2 per cell]
In2 0.500 0.500 0.500 [1 per cell]
Hg1 0.000 0.500 0.094 [4 per cell]
Hg2 0.500 0.500 0.351 [2 per cell]



[5]
Here is Pr4CdInHg2 after structural relaxation from Alexandria. Energies are from PBE-GGA.

Calculated values
Crystal system ... trigonal
Raw total energy ... -3.35 eV/atom
Total magnetic moment ... 0.2451 μB/atom
Formation energy from the elements ... -3.42 eV per formula unit
DOS at the Fermi energy ... 25.93 states/eV/cell

a = 5.4906 Å, b = 5.4906 Å, c = 26.9630 Å
α = 90.00°, β = 90.00°, γ = 120.00°
Space group R-3m (No. 166, hexagonal axes)
Asymmetric unit:
Pr1 0.0000 0.0000 0.1251 [6 per cell]
Pr2 0.0000 0.0000 0.3752 [6 per cell]
Cd1 0.0000 0.0000 0.5000 [3 per cell]
In1 0.0000 0.0000 0.0000 [3 per cell]
Hg1 0.0000 0.0000 0.2488 [6 per cell]



[6]
Here is Pr4Cd2InHg after structural relaxation from Alexandria. Energies are from PBE-GGA.

Calculated values
Crystal system ... trigonal
Raw total energy ... -3.40 eV/atom
Total magnetic moment ... 0.1814 μB/atom
Formation energy from the elements ... -3.18 eV per formula unit
DOS at the Fermi energy ... 31.21 states/eV/cell

a = 5.4929 Å, b = 5.4929 Å, c = 26.9274 Å
α = 90.00°, β = 90.00°, γ = 120.00°
Space group R-3m (No. 166, hexagonal axes)
Asymmetric unit:
Pr1 0.0000 0.0000 0.1236 [6 per cell]
Pr2 0.0000 0.0000 0.3736 [6 per cell]
Cd1 0.0000 0.0000 0.2483 [6 per cell]
In1 0.0000 0.0000 0.5000 [3 per cell]
Hg1 0.0000 0.0000 0.0000 [3 per cell]



[7]
Here is PrCdInHg after structural relaxation from Alexandria. Energies are from PBE-GGA.

Calculated values
Crystal system ... tetragonal
Raw total energy ... -2.53 eV/atom
Total magnetic moment ... 0.0000 μB/atom
Formation energy from the elements ... -1.37 eV per formula unit
Energy relative to the lowest polymorph listed for this composition ... 5 meV/atom
DOS at the Fermi energy ... 4.09 states/eV/cell

a = 4.876 Å, b = 4.876 Å, c = 8.767 Å
α = 90.00°, β = 90.00°, γ = 90.00°
Space group I-4m2 (No. 119)
Asymmetric unit:
Pr1 0.000 0.000 0.000 [2 per cell]
Cd1 0.000 0.500 0.750 [2 per cell]
In1 0.000 0.000 0.500 [2 per cell]
Hg1 0.000 0.500 0.250 [2 per cell]



[8]
Here is PrCdInHg after structural relaxation from Alexandria. Energies are from PBE-GGA.

Calculated values
Crystal system ... cubic
Raw total energy ... -2.53 eV/atom
Total magnetic moment ... 0.0000 μB/atom
Formation energy from the elements ... -1.39 eV per formula unit
Energy relative to the lowest polymorph listed for this composition ... 0 meV/atom
DOS at the Fermi energy ... 4.89 states/eV/cell

a = 7.452 Å, b = 7.452 Å, c = 7.452 Å
α = 90.00°, β = 90.00°, γ = 90.00°
Space group F-43m (No. 216)
Asymmetric unit:
Pr1 0.000 0.000 0.000 [4 per cell]
Cd1 0.000 0.000 0.500 [4 per cell]
In1 0.250 0.250 0.750 [4 per cell]
Hg1 0.250 0.250 0.250 [4 per cell]



[9]
Here is PrCd2InHg after structural relaxation from Alexandria. Energies are from PBE-GGA.

Calculated values
Crystal system ... orthorhombic
Raw total energy ... -2.21 eV/atom
Total magnetic moment ... 0.0000 μB/atom
Formation energy from the elements ... -1.41 eV per formula unit
DOS at the Fermi energy ... 10.47 states/eV/cell

a = 5.019 Å, b = 15.238 Å, c = 6.703 Å
α = 90.00°, β = 90.00°, γ = 90.00°
Space group Cmcm (No. 63)
Asymmetric unit:
Pr1 0.000 0.097 0.250 [4 per cell]
Cd1 0.000 0.299 0.504 [8 per cell]
In1 0.000 0.500 0.000 [4 per cell]
Hg1 0.000 0.114 0.750 [4 per cell]



[10]
Here is Pr4CdIn2Hg after structural relaxation from Alexandria. Energies are from PBE-GGA.

Calculated values
Crystal system ... trigonal
Raw total energy ... -3.67 eV/atom
Total magnetic moment ... 0.0901 μB/atom
Formation energy from the elements ... -3.55 eV per formula unit
DOS at the Fermi energy ... 32.33 states/eV/cell

a = 5.5137 Å, b = 5.5137 Å, c = 26.9998 Å
α = 90.00°, β = 90.00°, γ = 120.00°
Space group R-3m (No. 166, hexagonal axes)
Asymmetric unit:
Pr1 0.0000 0.0000 0.1238 [6 per cell]
Pr2 0.0000 0.0000 0.3738 [6 per cell]
Cd1 0.0000 0.0000 0.5000 [3 per cell]
In1 0.0000 0.0000 0.2482 [6 per cell]
Hg1 0.0000 0.0000 0.0000 [3 per cell]



[11]
Here is Cd2InHgPt after structural relaxation from Alexandria. Energies are from PBE-GGA.

Calculated values
Crystal system ... tetragonal
Raw total energy ... -2.32 eV/atom
Total magnetic moment ... 0.0000 μB/atom
Formation energy from the elements ... -0.67 eV per formula unit
DOS at the Fermi energy ... 1.99 states/eV/cell

a = 5.318 Å, b = 5.318 Å, c = 5.154 Å
α = 90.00°, β = 90.00°, γ = 90.00°
Space group P4/mmm (No. 123)
Asymmetric unit:
Cd1 0.000 0.500 0.000 [2 per cell]
In1 0.000 0.000 0.500 [1 per cell]
Hg1 0.500 0.500 0.500 [1 per cell]
Pt1 0.000 0.000 0.000 [1 per cell]



[12]
Here is PuCdIn2Hg2 after structural relaxation from Alexandria. Energies are from PBE-GGA.

Calculated values
Crystal system ... trigonal
Raw total energy ... -3.47 eV/atom
Total magnetic moment ... 0.9007 μB/atom
Formation energy from the elements ... 0.53 eV per formula unit
DOS at the Fermi energy ... 49.64 states/eV/cell

a = 5.0124 Å, b = 5.0124 Å, c = 27.4652 Å
α = 90.00°, β = 90.00°, γ = 120.00°
Space group R-3m (No. 166, hexagonal axes)
Asymmetric unit:
Pu1 0.0000 0.0000 0.0000 [3 per cell]
Cd1 0.0000 0.0000 0.5000 [3 per cell]
In1 0.0000 0.0000 0.3964 [6 per cell]
Hg1 0.0000 0.0000 0.2751 [6 per cell]



[13]
Here is PuCdInHg after structural relaxation from Alexandria. Energies are from PBE-GGA.

Calculated values
Crystal system ... cubic
Raw total energy ... -4.69 eV/atom
Total magnetic moment ... 1.4015 μB/atom
Formation energy from the elements ... -0.48 eV per formula unit
DOS at the Fermi energy ... 49.51 states/eV/cell

a = 7.344 Å, b = 7.344 Å, c = 7.344 Å
α = 90.00°, β = 90.00°, γ = 90.00°
Space group F-43m (No. 216)
Asymmetric unit:
Pu1 0.000 0.000 0.000 [4 per cell]
Cd1 0.000 0.000 0.500 [4 per cell]
In1 0.250 0.250 0.250 [4 per cell]
Hg1 0.250 0.250 0.750 [4 per cell]



[14]
Here is PuCdIn2Hg6 after structural relaxation from Alexandria. Energies are from PBE-GGA.

Calculated values
Crystal system ... monoclinic
Raw total energy ... -2.27 eV/atom
Total magnetic moment ... 0.5846 μB/atom
Formation energy from the elements ... -0.20 eV per formula unit
DOS at the Fermi energy ... 56.74 states/eV/cell

a = 12.444 Å, b = 11.085 Å, c = 7.898 Å
α = 90.00°, β = 101.21°, γ = 90.00°
Space group C2/c (No. 15)
Asymmetric unit:
Pu1 0.000 0.050 0.250 [4 per cell]
Cd1 0.000 0.426 0.750 [4 per cell]
In1 0.168 0.151 0.989 [8 per cell]
Hg1 0.095 0.193 0.598 [8 per cell]
Hg2 0.126 0.332 0.264 [8 per cell]
Hg3 0.227 0.432 0.641 [8 per cell]



[15]
Here is PuCdIn2Hg4 after structural relaxation from Alexandria. Energies are from PBE-GGA.

Calculated values
Crystal system ... orthorhombic
Raw total energy ... -2.76 eV/atom
Total magnetic moment ... 0.7616 μB/atom
Formation energy from the elements ... -0.16 eV per formula unit
DOS at the Fermi energy ... 42.19 states/eV/cell

a = 3.177 Å, b = 16.865 Å, c = 16.208 Å
α = 90.00°, β = 90.00°, γ = 90.00°
Space group Cmcm (No. 63)
Asymmetric unit:
Pu1 0.000 0.246 0.250 [4 per cell]
Cd1 0.000 0.076 0.750 [4 per cell]
In1 0.000 0.369 0.089 [8 per cell]
Hg1 0.000 0.000 0.000 [4 per cell]
Hg2 0.000 0.312 0.585 [8 per cell]
Hg3 0.000 0.424 0.750 [4 per cell]



[16]
Here is PuCd2InHg after structural relaxation from Alexandria. Energies are from PBE-GGA.

Calculated values
Crystal system ... orthorhombic
Raw total energy ... -3.87 eV/atom
Total magnetic moment ... 1.1640 μB/atom
Formation energy from the elements ... -0.15 eV per formula unit
DOS at the Fermi energy ... 37.98 states/eV/cell

a = 3.093 Å, b = 20.564 Å, c = 8.390 Å
α = 90.00°, β = 90.00°, γ = 90.00°
Space group Cmcm (No. 63)
Asymmetric unit:
Pu1 0.000 0.098 0.250 [4 per cell]
Cd1 0.000 0.346 0.069 [8 per cell]
In1 0.000 0.500 0.000 [4 per cell]
Hg1 0.000 0.264 0.750 [4 per cell]



[17]
Here is PuCdInHg3 after structural relaxation from Alexandria. Energies are from PBE-GGA.

Calculated values
Crystal system ... orthorhombic
Raw total energy ... -3.22 eV/atom
Total magnetic moment ... 0.9851 μB/atom
Formation energy from the elements ... -0.42 eV per formula unit
DOS at the Fermi energy ... 58.47 states/eV/cell

a = 4.390 Å, b = 14.304 Å, c = 9.676 Å
α = 90.00°, β = 90.00°, γ = 90.00°
Space group Cmcm (No. 63)
Asymmetric unit:
Pu1 0.000 0.181 0.250 [4 per cell]
Cd1 0.000 0.000 0.000 [4 per cell]
In1 0.000 0.495 0.750 [4 per cell]
Hg1 0.000 0.154 0.750 [4 per cell]
Hg2 0.000 0.338 0.501 [8 per cell]



[18]
Here is PuCd2InHg4 after structural relaxation from Alexandria. Energies are from PBE-GGA.

Calculated values
Crystal system ... orthorhombic
Raw total energy ... -2.53 eV/atom
Total magnetic moment ... 0.7462 μB/atom
Formation energy from the elements ... -0.09 eV per formula unit
DOS at the Fermi energy ... 44.29 states/eV/cell

a = 3.132 Å, b = 16.891 Å, c = 16.179 Å
α = 90.00°, β = 90.00°, γ = 90.00°
Space group Cmcm (No. 63)
Asymmetric unit:
Pu1 0.000 0.247 0.250 [4 per cell]
Cd1 0.000 0.369 0.088 [8 per cell]
In1 0.000 0.077 0.750 [4 per cell]
Hg1 0.000 0.000 0.000 [4 per cell]
Hg2 0.000 0.308 0.583 [8 per cell]
Hg3 0.000 0.422 0.750 [4 per cell]



[19]
Here is Rb2CdIn3Hg4 after structural relaxation from Alexandria. Energies are from PBE-GGA.

Calculated values
Crystal system ... tetragonal
Raw total energy ... -1.36 eV/atom
Total magnetic moment ... 0.0000 μB/atom
Formation energy from the elements ... -1.33 eV per formula unit
DOS at the Fermi energy ... 4.37 states/eV/cell

a = 5.225 Å, b = 5.225 Å, c = 11.848 Å
α = 90.00°, β = 90.00°, γ = 90.00°
Space group P-4m2 (No. 115)
Asymmetric unit:
Rb1 0.000 0.500 0.247 [2 per cell]
Cd1 0.000 0.000 0.500 [1 per cell]
In1 0.000 0.500 0.878 [2 per cell]
In2 0.500 0.500 0.500 [1 per cell]
Hg1 0.000 0.000 0.000 [1 per cell]
Hg2 0.000 0.500 0.628 [2 per cell]
Hg3 0.500 0.500 0.000 [1 per cell]



[20]
Here is Rb2Cd4In3Hg after structural relaxation from Alexandria. Energies are from PBE-GGA.

Calculated values
Crystal system ... tetragonal
Raw total energy ... -1.48 eV/atom
Total magnetic moment ... 0.0000 μB/atom
Formation energy from the elements ... -0.73 eV per formula unit
DOS at the Fermi energy ... 5.66 states/eV/cell

a = 5.182 Å, b = 5.182 Å, c = 11.898 Å
α = 90.00°, β = 90.00°, γ = 90.00°
Space group P-4m2 (No. 115)
Asymmetric unit:
Rb1 0.000 0.500 0.249 [2 per cell]
Cd1 0.000 0.000 0.500 [1 per cell]
Cd2 0.000 0.500 0.873 [2 per cell]
Cd3 0.500 0.500 0.500 [1 per cell]
In1 0.000 0.000 0.000 [1 per cell]
In2 0.000 0.500 0.625 [2 per cell]
Hg1 0.500 0.500 0.000 [1 per cell]